Below is a relaxed LaCe5Pb6 crystal, with properties calculated at the PBE level.

abc: 8.419 8.425 7.137
angles: 53.83 83.19 78.41
Each line ends with the local moment (μB).
Positions (direct):
Pb (0.748, 0.079, 0.345)  -0.01
Pb (0.252, 0.575, 0.345)  -0.01
Pb (0.747, 0.747, 0.000)  -0.01
Pb (0.253, 0.253, 0.000)  -0.01
Pb (0.748, 0.425, 0.655)  -0.01
Pb (0.252, 0.921, 0.655)  -0.01
Ce (0.000, 0.664, 0.671)  0.65
Ce (0.500, 0.835, 0.330)  0.62
Ce (0.500, 0.165, 0.670)  0.62
Ce (0.000, 0.336, 0.329)  0.65
Ce (0.500, 0.500, 0.000)  0.68
La (0.000, 0.000, 0.000)  -0.02

Computed properties:
Total DFT energy (no corrections), eV/atom: -5.049
Energy relative to the lowest polymorph listed for this composition, meV per atom: 114.7
Energy of formation, meV/atom: -312
SG: C2/m

---

Below is a relaxed RbBeBi3 crystal, with properties calculated at the PBE level.

abc: 5.398 5.398 5.398
angles: 90.00 90.00 90.00
Positions (direct):
Bi (0.500, 0.000, 0.000)
Bi (0.000, 0.500, 0.000)
Bi (0.000, 0.000, 0.500)
Rb (0.500, 0.500, 0.500)
Be (0.000, 0.000, 0.000)

Computed properties:
Total DFT energy (no corrections), eV/atom: -3.058
Energy relative to the lowest polymorph listed for this composition, meV per atom: 0.0
Energy of formation, meV/atom: 210
SG: Pm-3m

---

Below is a relaxed HfTe2IBr crystal, with properties calculated at the PBE level.

abc: 5.571 5.571 5.633
angles: 90.00 90.00 90.00
Positions (direct):
Te (0.500, 0.000, 0.000)
Te (0.000, 0.500, 0.000)
Hf (0.000, 0.000, 0.000)
Br (0.500, 0.500, 0.500)
I (0.000, 0.000, 0.500)

Computed properties:
ΔE_f (raw), eV per atom: -0.19
Total DFT energy (no corrections), eV/atom: -4.084
Energy relative to the lowest polymorph listed for this composition, meV per atom: 0.0
SG: P4/mmm

---

Below is a relaxed ZnCrP2 crystal, with properties calculated at the PBE level.

abc: 4.542 4.542 4.542
angles: 133.51 123.07 76.46
Each line ends with the local moment (μB).
Positions (direct):
Zn (0.750, 0.250, 0.500)  -0.03
Cr (0.250, 0.750, 0.500)  2.25
P (0.496, 0.496, 0.000)  -0.05
P (0.004, 0.004, 0.000)  -0.05

Computed properties:
Total DFT energy (no corrections), eV/atom: -5.210
Energy of formation, meV/atom: 219
SG: Immm

---

Below is a relaxed YSb2Ru crystal, with properties calculated at the PBE level.

abc: 5.030 5.030 5.030
angles: 60.00 60.00 60.00
Each line ends with the local moment (μB).
Positions (direct):
Ru (0.500, 0.500, 0.500)  0.05
Sb (0.000, 0.000, 0.000)  0.01
Sb (0.750, 0.750, 0.750)  0.00
Y (0.250, 0.250, 0.250)  0.00

Computed properties:
ΔE_f (raw), eV per atom: -0.04
Total DFT energy (no corrections), eV/atom: -6.036
SG: F-43m

---

Below is a relaxed Rb2LiAs crystal, with properties calculated at the PBE level.

abc: 6.283 6.780 6.780
angles: 104.16 90.00 90.00
Positions (direct):
Rb (0.250, 0.695, 0.031)
Rb (0.750, 0.969, 0.305)
Rb (0.250, 0.031, 0.695)
Rb (0.750, 0.305, 0.969)
Li (0.500, 0.500, 0.500)
Li (0.000, 0.500, 0.500)
As (0.750, 0.736, 0.736)
As (0.250, 0.264, 0.264)

Computed properties:
Total DFT energy (no corrections), eV/atom: -2.542
Energy of formation, meV/atom: -417
SG: Cmcm

---

Below is a relaxed SrTiTeN2 crystal, with properties calculated at the PBE level.

abc: 4.215 4.215 5.558
angles: 90.00 90.00 90.00
Each line ends with the local moment (μB).
Positions (direct):
N (0.000, 0.500, 0.000)  0.41
N (0.500, 0.000, 0.000)  0.41
Ti (0.000, 0.000, 0.000)  -0.14
Te (0.000, 0.000, 0.500)  0.09
Sr (0.500, 0.500, 0.500)  0.00

Computed properties:
ΔE_f (raw), eV per atom: -0.19
Total DFT energy (no corrections), eV/atom: -6.066
Energy relative to the lowest polymorph listed for this composition, meV per atom: 0.0
SG: P4/mmm

---

Below is a relaxed AgP3 crystal, with properties calculated at the PBE level.

abc: 4.378 4.378 4.378
angles: 109.48 109.48 109.48
Positions (direct):
P (0.000, 0.500, 0.500)
P (0.500, 0.500, 0.000)
P (0.500, 0.000, 0.500)
Ag (0.000, 0.000, 0.000)

Computed properties:
Total DFT energy (no corrections), eV/atom: -4.451
Energy relative to the lowest polymorph listed for this composition, meV per atom: 135.4
Energy of formation, meV/atom: 319
SG: Im-3m

---

Below is a relaxed CsBiOs3 crystal, with properties calculated at the PBE level.

abc: 5.002 5.002 5.002
angles: 90.00 90.00 90.00
Each line ends with the local moment (μB).
Positions (direct):
Cs (0.000, 0.000, 0.000)  0.03
Bi (0.500, 0.500, 0.500)  -0.09
Os (0.500, 0.000, 0.000)  1.04
Os (0.000, 0.000, 0.500)  1.00
Os (0.000, 0.500, 0.000)  1.28

Computed properties:
Total DFT energy (no corrections), eV/atom: -4.030
Energy of formation, meV/atom: 3655
SG: Pm-3m

---

Below is a relaxed TmUZn4 crystal, with properties calculated at the PBE level.

abc: 5.416 5.416 5.416
angles: 60.00 60.00 60.00
Each line ends with the local moment (μB).
Positions (direct):
Zn (0.125, 0.625, 0.625)  -0.01
Zn (0.625, 0.125, 0.625)  -0.01
Zn (0.625, 0.625, 0.625)  -0.01
Zn (0.625, 0.625, 0.125)  -0.01
U (0.000, 0.000, 0.000)  2.28
Tm (0.250, 0.250, 0.250)  0.15

Computed properties:
Total DFT energy (no corrections), eV/atom: -3.540
Energy of formation, meV/atom: -64
SG: F-43m

---

Below is a relaxed MnPIr2 crystal, with properties calculated at the PBE level.

abc: 5.264 5.264 6.463
angles: 65.97 65.97 90.00
Each line ends with the local moment (μB).
Positions (direct):
Ir (0.621, 0.125, 0.250)  -0.02
Ir (0.129, 0.625, 0.250)  -0.01
Ir (0.375, 0.379, 0.750)  -0.01
Ir (0.875, 0.871, 0.750)  -0.01
P (0.500, 0.500, 0.000)  0.00
P (0.250, 0.750, 0.500)  0.00
Mn (0.000, 0.000, 0.000)  0.26
Mn (0.750, 0.250, 0.500)  0.28

Computed properties:
Total DFT energy (no corrections), eV/atom: -7.762
Energy of formation, meV/atom: 313
SG: I-42d

---

Below is a relaxed Na2Tb3DyTe6 crystal, with properties calculated at the PBE level.

abc: 7.612 7.612 7.713
angles: 99.45 99.45 119.95
Positions (direct):
Na (0.334, 0.666, 0.000)
Na (0.666, 0.334, 0.000)
Te (0.587, 0.916, 0.749)
Te (0.916, 0.587, 0.749)
Te (0.244, 0.244, 0.745)
Te (0.756, 0.756, 0.255)
Te (0.413, 0.084, 0.251)
Te (0.084, 0.413, 0.251)
Tb (0.169, 0.831, 0.500)
Tb (0.500, 0.500, 0.500)
Tb (0.831, 0.169, 0.500)
Dy (0.000, 0.000, 0.000)

Computed properties:
ΔE_f (raw), eV per atom: -1.32
Total DFT energy (no corrections), eV/atom: -4.648
SG: C2/m

---

Below is a relaxed InAgPd2I crystal, with properties calculated at the PBE level.

abc: 5.005 6.112 5.005
angles: 90.00 90.00 90.00
Positions (direct):
Pd (0.500, 0.000, 0.000)
Pd (0.000, 0.000, 0.500)
I (0.000, 0.500, 0.000)
Ag (0.500, 0.500, 0.500)
In (0.000, 0.000, 0.000)

Computed properties:
ΔE_f (raw), eV per atom: 0.65
Total DFT energy (no corrections), eV/atom: -2.860
SG: P4/mmm

---

Below is a relaxed K2RbSbH crystal, with properties calculated at the PBE level.

abc: 5.491 5.491 5.699
angles: 90.00 90.00 90.00
Each line ends with the local moment (μB).
Positions (direct):
Rb (0.000, 0.000, 0.500)  0.01
H (0.000, 0.000, 0.000)  0.00
K (0.500, 0.000, 0.000)  0.01
K (0.000, 0.500, 0.000)  0.01
Sb (0.500, 0.500, 0.500)  0.33

Computed properties:
Total DFT energy (no corrections), eV/atom: -2.365
SG: P4/mmm

---

Below is a relaxed ScSi2Ru crystal, with properties calculated at the PBE level.

abc: 4.172 3.116 4.904
angles: 89.88 90.00 90.00
Positions (direct):
Sc (0.500, 0.750, 0.750)
Ru (0.500, 0.250, 0.250)
Si (0.000, 0.252, 0.502)
Si (0.000, 0.248, 0.998)

Computed properties:
ΔE_f (raw), eV per atom: -0.59
Total DFT energy (no corrections), eV/atom: -7.205
SG: P2/m

---

Below is a relaxed Na2Tl2Hg5 crystal, with properties calculated at the PBE level.

abc: 4.837 9.914 12.273
angles: 113.82 101.37 90.00
Positions (direct):
Na (0.893, 0.791, 0.286)
Na (0.107, 0.505, 0.714)
Na (0.893, 0.291, 0.286)
Na (0.107, 0.005, 0.714)
Hg (0.306, 0.704, 0.111)
Hg (0.694, 0.093, 0.889)
Hg (0.425, 0.046, 0.294)
Hg (0.306, 0.204, 0.111)
Hg (0.694, 0.593, 0.889)
Hg (0.987, 0.648, 0.500)
Hg (0.013, 0.148, 0.500)
Hg (0.630, 0.251, 0.706)
Hg (0.575, 0.751, 0.706)
Hg (0.370, 0.546, 0.294)
Tl (0.500, 0.899, 0.500)
Tl (0.500, 0.399, 0.500)
Tl (0.000, 0.898, 0.000)
Tl (0.500, 0.398, 0.000)

Computed properties:
Total DFT energy (no corrections), eV/atom: -1.072
Energy of formation, meV/atom: -85
SG: Imma

---

Below is a relaxed SrAgTe2 crystal, with properties calculated at the PBE level.

abc: 7.716 7.716 7.716
angles: 149.22 147.33 45.50
Positions (direct):
Ag (0.539, 0.539, 0.000)
Sr (0.291, 0.791, 0.500)
Te (0.973, 0.973, 0.000)
Te (0.696, 0.196, 0.500)

Computed properties:
ΔE_f (raw), eV per atom: -0.62
Total DFT energy (no corrections), eV/atom: -3.324
SG: Imm2

---

Below is a relaxed Zn2CoPt crystal, with properties calculated at the PBE level.

abc: 8.884 8.884 8.884
angles: 17.60 17.60 17.60
Each line ends with the local moment (μB).
Positions (direct):
Zn (0.245, 0.245, 0.245)  -0.04
Zn (0.001, 0.001, 0.001)  -0.01
Co (0.501, 0.501, 0.501)  1.51
Pt (0.753, 0.753, 0.753)  0.08

Computed properties:
Total DFT energy (no corrections), eV/atom: -3.998
Energy of formation, meV/atom: -74
SG: R3m

---

Below is a relaxed Ag2WBr crystal, with properties calculated at the PBE level.

abc: 2.915 2.915 9.848
angles: 90.00 90.00 115.34
Positions (direct):
Br (0.500, 0.500, 0.250)
Ag (0.000, 0.000, 0.511)
Ag (0.000, 0.000, 0.989)
W (0.500, 0.500, 0.750)

Computed properties:
ΔE_f (raw), eV per atom: 0.60
Total DFT energy (no corrections), eV/atom: -4.480
Energy relative to the lowest polymorph listed for this composition, meV per atom: 149.7
SG: Cmmm

---

Below is a relaxed NaZrI2 crystal, with properties calculated at the PBE level.

abc: 8.127 8.127 7.169
angles: 55.47 55.47 90.00
Each line ends with the local moment (μB).
Positions (direct):
I (0.105, 0.625, 0.250)  0.02
I (0.645, 0.125, 0.250)  0.02
I (0.875, 0.895, 0.750)  0.02
I (0.375, 0.355, 0.750)  0.02
Zr (0.000, 0.000, 0.000)  1.58
Zr (0.750, 0.250, 0.500)  1.59
Na (0.500, 0.500, 0.000)  0.02
Na (0.250, 0.750, 0.500)  0.02

Computed properties:
ΔE_f (raw), eV per atom: -0.23
Total DFT energy (no corrections), eV/atom: -3.468
Energy relative to the lowest polymorph listed for this composition, meV per atom: 9.4
SG: I-42d

---

Below is a relaxed BeRe2Mo crystal, with properties calculated at the PBE level.

abc: 4.297 4.297 4.297
angles: 60.00 60.00 60.00
Positions (direct):
Be (0.500, 0.500, 0.500)
Re (0.000, 0.000, 0.000)
Re (0.250, 0.250, 0.250)
Mo (0.750, 0.750, 0.750)

Computed properties:
Total DFT energy (no corrections), eV/atom: -9.712
Energy of formation, meV/atom: 151
SG: F-43m

---

Below is a relaxed TlCdAg crystal, with properties calculated at the PBE level.

abc: 3.326 3.243 15.252
angles: 90.00 90.00 120.85
Positions (direct):
Ag (0.630, 0.260, 0.647)
Ag (0.630, 0.260, 0.353)
Tl (0.270, 0.540, 0.186)
Tl (0.270, 0.540, 0.814)
Cd (0.292, 0.583, 0.500)
Cd (0.575, 0.151, 0.000)

Computed properties:
Total DFT energy (no corrections), eV/atom: -1.947
Energy relative to the lowest polymorph listed for this composition, meV per atom: 19.8
Energy of formation, meV/atom: 97
SG: Amm2

---

Below is a relaxed BaMoSe2 crystal, with properties calculated at the PBE level.

abc: 5.314 5.314 5.314
angles: 60.00 60.00 60.00
Each line ends with the local moment (μB).
Positions (direct):
Se (0.000, 0.000, 0.000)  -0.20
Se (0.250, 0.250, 0.250)  -0.13
Mo (0.750, 0.750, 0.750)  3.52
Ba (0.500, 0.500, 0.500)  0.14

Computed properties:
ΔE_f (raw), eV per atom: 0.37
Total DFT energy (no corrections), eV/atom: -4.564
Energy relative to the lowest polymorph listed for this composition, meV per atom: 1126.7
SG: F-43m

---

Below is a relaxed Co7P6 crystal, with properties calculated at the PBE level.

abc: 8.428 8.428 8.428
angles: 33.04 33.04 33.04
Each line ends with the local moment (μB).
Positions (direct):
P (0.911, 0.911, 0.911)  0.00
P (0.816, 0.816, 0.816)  -0.02
P (0.333, 0.333, 0.333)  0.00
P (0.184, 0.184, 0.184)  -0.02
P (0.667, 0.667, 0.667)  0.00
P (0.089, 0.089, 0.089)  0.00
Co (0.428, 0.428, 0.925)  0.01
Co (0.075, 0.572, 0.572)  0.01
Co (0.500, 0.500, 0.500)  1.52
Co (0.572, 0.572, 0.075)  0.01
Co (0.428, 0.925, 0.428)  0.01
Co (0.572, 0.075, 0.572)  0.01
Co (0.925, 0.428, 0.428)  0.01

Computed properties:
Total DFT energy (no corrections), eV/atom: -6.520
Energy of formation, meV/atom: -196
SG: R-3m

---

Below is a relaxed Tl2SnSb crystal, with properties calculated at the PBE level.

abc: 5.495 4.667 4.667
angles: 90.00 90.00 90.00
Positions (direct):
Tl (0.000, 0.500, 0.000)
Tl (0.000, 0.000, 0.500)
Sn (0.500, 0.000, 0.000)
Sb (0.500, 0.500, 0.500)

Computed properties:
ΔE_f (raw), eV per atom: 0.04
Total DFT energy (no corrections), eV/atom: -3.171
Energy relative to the lowest polymorph listed for this composition, meV per atom: 0.0
SG: P4/mmm

---

Below is a relaxed ReAs2Cl crystal, with properties calculated at the PBE level.

abc: 6.277 6.277 7.019
angles: 63.44 63.44 90.00
Positions (direct):
Re (0.000, 0.000, 0.000)
Re (0.750, 0.250, 0.500)
As (0.375, 0.299, 0.750)
As (0.049, 0.625, 0.250)
As (0.701, 0.125, 0.250)
As (0.875, 0.951, 0.750)
Cl (0.250, 0.750, 0.500)
Cl (0.500, 0.500, 0.000)

Computed properties:
ΔE_f (raw), eV per atom: 0.39
Total DFT energy (no corrections), eV/atom: -5.509
Energy relative to the lowest polymorph listed for this composition, meV per atom: 334.2
SG: I-42d

---

Below is a relaxed Co2HgOs crystal, with properties calculated at the PBE level.

abc: 4.474 4.474 5.019
angles: 80.84 80.84 36.21
Each line ends with the local moment (μB).
Positions (direct):
Co (0.491, 0.491, 0.554)  1.26
Co (0.009, 0.009, 0.946)  1.26
Hg (0.250, 0.250, 0.250)  0.00
Os (0.750, 0.750, 0.750)  0.48

Computed properties:
Total DFT energy (no corrections), eV/atom: -5.863
Energy of formation, meV/atom: 572
SG: C2/m